Ta6Ga2H: optimized geometry, GGA-PBE.

a b c (Å): 5.4602 6.1661 8.5161
angles (deg): 90.00 89.91 90.00
Atoms (fractional coordinates):
Ga1 0.8927 0.4054 0.7527
Ga2 0.6073 0.9054 0.7473
Ga3 0.1073 0.5946 0.2473
Ga4 0.3927 0.0946 0.2527
Ta1 0.3720 0.7949 0.0279
Ta2 0.8690 0.9860 0.2499
Ta3 0.1310 0.0140 0.7501
Ta4 0.6214 0.2200 0.5281
Ta5 0.1214 0.2800 0.0281
Ta6 0.6280 0.2051 0.9721
Ta7 0.8786 0.7200 0.9719
Ta8 0.1280 0.2949 0.4721
Ta9 0.3690 0.5140 0.7499
Ta10 0.3786 0.7800 0.4719
Ta11 0.6310 0.4860 0.2501
Ta12 0.8720 0.7051 0.5279
H1 0.5000 0.5000 0.0000
H2 0.0000 0.0000 0.5000

Summary:
uncorrected energy = -9.031 eV per atom
size of the total moment = 0.000 μB/f.u.
SG = No. 14